No. 1
{
  "formula": "YTl3Hg",
  "functional": "PBE",
  "state": "optimized geometry",
  "ef_ev_per_fu": 2.03,
  "polymorph_energy_mev_per_atom": 0.0,
  "cell": [[5.6165, 0.0000, 0.0000], [0.0000, 5.6165, 0.0000], [0.0000, 0.0000, 5.6165]],
  "species": ["Y", "Tl", "Tl", "Tl", "Hg"],
  "frac_coords": [[0.0000, 0.0000, 0.0000], [0.0000, 0.5000, 0.5000], [0.5000, 0.0000, 0.5000], [0.5000, 0.5000, 0.0000], [0.5000, 0.5000, 0.5000]]
}

---

No. 2
{
  "formula": "Zr2NiSb",
  "functional": "PBE",
  "state": "optimized geometry",
  "formation_energy_uncorrected_mev_per_atom": -382,
  "cell": [[4.2369, 0.0000, 0.0000], [0.0000, 4.2369, 0.0000], [0.0000, 0.0000, 4.2871]],
  "species": ["Zr", "Zr", "Ni", "Sb"],
  "frac_coords": [[0.0000, 0.5000, 0.0000], [0.5000, 0.0000, 0.0000], [0.0000, 0.0000, 0.5000], [0.5000, 0.5000, 0.5000]]
}

---

No. 3
{
  "formula": "TmTlCd4",
  "functional": "PBE",
  "state": "optimized geometry",
  "ef_ev_per_fu": -0.63,
  "polymorph_energy_mev_per_atom": 0.0,
  "cell": [[3.1867, -9.1322, 0.0000], [3.1867, 9.1322, 0.0000], [-0.2540, 0.0000, 5.0873]],
  "species": ["Tm", "Tm", "Tl", "Tl", "Cd", "Cd", "Cd", "Cd", "Cd", "Cd", "Cd", "Cd"],
  "frac_coords": [[0.2034, 0.7966, 0.7500], [0.7966, 0.2034, 0.2500], [0.3048, 0.6952, 0.2500], [0.6952, 0.3048, 0.7500], [0.1139, 0.3749, 0.7600], [0.2042, 0.2859, 0.2683], [0.2859, 0.2042, 0.7683], [0.3749, 0.1139, 0.2600], [0.6251, 0.8861, 0.7400], [0.7141, 0.7958, 0.2317], [0.7958, 0.7141, 0.7317], [0.8861, 0.6251, 0.2400]]
}

---

No. 4
{
  "formula": "Sr2Li12Mg3Zn",
  "functional": "PBE",
  "state": "optimized geometry",
  "ef_ev_per_fu": 1.75,
  "cell": [[3.1034, 1.7917, 13.6404], [-3.1034, 1.7917, 13.6404], [0.0000, -3.5835, 13.6404]],
  "species": ["Sr", "Sr", "Li", "Li", "Li", "Li", "Li", "Li", "Li", "Li", "Li", "Li", "Li", "Li", "Mg", "Mg", "Mg", "Zn"],
  "frac_coords": [[0.1474, 0.1474, 0.1474], [0.8526, 0.8526, 0.8526], [0.1024, 0.1024, 0.6265], [0.1024, 0.6265, 0.1024], [0.1293, 0.5995, 0.5995], [0.3735, 0.8976, 0.8976], [0.4005, 0.4005, 0.8707], [0.4005, 0.8707, 0.4005], [0.5995, 0.1293, 0.5995], [0.5995, 0.5995, 0.1293], [0.6265, 0.1024, 0.1024], [0.8707, 0.4005, 0.4005], [0.8976, 0.3735, 0.8976], [0.8976, 0.8976, 0.3735], [0.0000, 0.5000, 0.5000], [0.5000, 0.0000, 0.5000], [0.5000, 0.5000, 0.0000], [0.5000, 0.5000, 0.5000]]
}

---

No. 5
{
  "formula": "PdPbCl2",
  "functional": "PBE",
  "state": "optimized geometry",
  "polymorph_energy_mev_per_atom": 33.6,
  "formation_energy_uncorrected_mev_per_atom": -340,
  "cell": [[3.7137, 0.0000, 0.0000], [-1.8569, 3.2162, 0.0000], [0.0000, 0.0000, 26.5134]],
  "species": ["Pd", "Pd", "Pd", "Pb", "Pb", "Pb", "Cl", "Cl", "Cl", "Cl", "Cl", "Cl"],
  "frac_coords": [[0.0000, 0.0000, 0.0000], [0.3333, 0.6667, 0.6667], [0.6667, 0.3333, 0.3333], [0.0000, 0.0000, 0.5000], [0.3333, 0.6667, 0.1667], [0.6667, 0.3333, 0.8333], [0.0000, 0.0000, 0.0874], [0.0000, 0.0000, 0.9126], [0.3333, 0.6667, 0.5792], [0.3333, 0.6667, 0.7541], [0.6667, 0.3333, 0.2459], [0.6667, 0.3333, 0.4208]]
}

---

No. 6
{
  "formula": "Cs5SiP3",
  "functional": "PBE",
  "state": "optimized geometry",
  "formation_energy_uncorrected_mev_per_atom": -371,
  "cell": [[14.3711, 0.0000, 0.0000], [0.0000, 6.0291, 0.0000], [0.0000, 0.0000, 16.1455]],
  "species": ["Cs", "Cs", "Cs", "Cs", "Cs", "Cs", "Cs", "Cs", "Cs", "Cs", "Cs", "Cs", "Cs", "Cs", "Cs", "Cs", "Cs", "Cs", "Cs", "Cs", "Si", "Si", "Si", "Si", "P", "P", "P", "P", "P", "P", "P", "P", "P", "P", "P", "P"],
  "frac_coords": [[0.0332, 0.2500, 0.1320], [0.0584, 0.2500, 0.4542], [0.1091, 0.2500, 0.6920], [0.1565, 0.7500, 0.0516], [0.2382, 0.7500, 0.7922], [0.2618, 0.2500, 0.2922], [0.3435, 0.2500, 0.5516], [0.3909, 0.7500, 0.1920], [0.4416, 0.7500, 0.9542], [0.4668, 0.7500, 0.6320], [0.5332, 0.2500, 0.3680], [0.5584, 0.2500, 0.0458], [0.6091, 0.2500, 0.8080], [0.6565, 0.7500, 0.4484], [0.7382, 0.7500, 0.7078], [0.7618, 0.2500, 0.2078], [0.8435, 0.2500, 0.9484], [0.8909, 0.7500, 0.3080], [0.9416, 0.7500, 0.5458], [0.9668, 0.7500, 0.8680], [0.2392, 0.7500, 0.4421], [0.2608, 0.2500, 0.9421], [0.7392, 0.7500, 0.0579], [0.7608, 0.2500, 0.5579], [0.1100, 0.2500, 0.9141], [0.1339, 0.7500, 0.3430], [0.1980, 0.7500, 0.5741], [0.3020, 0.2500, 0.0741], [0.3661, 0.2500, 0.8430], [0.3900, 0.7500, 0.4141], [0.6100, 0.2500, 0.5859], [0.6339, 0.7500, 0.1570], [0.6980, 0.7500, 0.9259], [0.8020, 0.2500, 0.4259], [0.8661, 0.2500, 0.6570], [0.8900, 0.7500, 0.0859]]
}

---

No. 7
{
  "formula": "AlInSe",
  "functional": "PBE",
  "state": "optimized geometry",
  "polymorph_energy_mev_per_atom": 435.1,
  "formation_energy_uncorrected_mev_per_atom": 172,
  "cell": [[6.9648, 0.0000, 0.0000], [0.0000, 6.9648, 0.0000], [0.0000, 0.0000, 6.9648]],
  "species": ["Al", "Al", "Al", "Al", "In", "In", "In", "In", "Se", "Se", "Se", "Se"],
  "frac_coords": [[0.0000, 0.0000, 0.0000], [0.0000, 0.5000, 0.5000], [0.5000, 0.0000, 0.5000], [0.5000, 0.5000, 0.0000], [0.2500, 0.2500, 0.2500], [0.2500, 0.7500, 0.7500], [0.7500, 0.2500, 0.7500], [0.7500, 0.7500, 0.2500], [0.0000, 0.0000, 0.5000], [0.0000, 0.5000, 0.0000], [0.5000, 0.0000, 0.0000], [0.5000, 0.5000, 0.5000]]
}

---

No. 8
{
  "formula": "Tb2Er3Tm7",
  "functional": "PBE",
  "state": "optimized geometry",
  "ef_ev_per_fu": 1.97,
  "polymorph_energy_mev_per_atom": 80.6,
  "cell": [[2.8615, -18.4222, 0.0000], [2.8615, 18.4222, 0.0000], [0.0000, 0.0000, 3.5428]],
  "species": ["Tb", "Tb", "Er", "Er", "Er", "Tm", "Tm", "Tm", "Tm", "Tm", "Tm", "Tm"],
  "frac_coords": [[0.1753, 0.8247, 0.0000], [0.8247, 0.1753, 0.0000], [0.3506, 0.6494, 0.5000], [0.5000, 0.5000, 0.5000], [0.6494, 0.3506, 0.5000], [0.0000, 0.0000, 0.0000], [0.0894, 0.9106, 0.5000], [0.2709, 0.7291, 0.0000], [0.4278, 0.5722, 0.0000], [0.5722, 0.4278, 0.0000], [0.7291, 0.2709, 0.0000], [0.9106, 0.0894, 0.5000]]
}

---

No. 9
{
  "formula": "Cr5Ir6Rh",
  "functional": "PBE",
  "state": "optimized geometry",
  "ef_ev_per_fu": -2.25,
  "cell": [[-1.8955, 3.7456, 5.7121], [1.8955, -3.7456, 5.7121], [1.8955, 3.7456, -5.7121]],
  "species": ["Cr", "Cr", "Cr", "Cr", "Cr", "Ir", "Ir", "Ir", "Ir", "Ir", "Ir", "Rh"],
  "frac_coords": [[0.0000, 0.0000, 0.0000], [0.1648, 0.6648, 0.5000], [0.3307, 0.3307, 0.0000], [0.6693, 0.6693, 0.0000], [0.8352, 0.3352, 0.5000], [0.0792, 0.8325, 0.2467], [0.2414, 0.5000, 0.7414], [0.4143, 0.1675, 0.2467], [0.5857, 0.8325, 0.7533], [0.7586, 0.5000, 0.2586], [0.9208, 0.1675, 0.7533], [0.5000, 0.0000, 0.5000]]
}

---

No. 10
{
  "formula": "MoOs3",
  "functional": "PBE",
  "state": "optimized geometry",
  "ef_ev_per_fu": -0.16,
  "cell": [[2.7670, 0.0000, 0.0000], [0.0000, 8.7998, 0.0000], [0.0000, 0.0000, 4.8056]],
  "species": ["Mo", "Mo", "Os", "Os", "Os", "Os", "Os", "Os"],
  "frac_coords": [[0.0000, 0.0000, 0.0000], [0.5000, 0.5000, 0.5000], [0.0000, 0.2476, 0.3292], [0.0000, 0.5000, 0.9993], [0.0000, 0.7524, 0.3292], [0.5000, 0.0000, 0.4993], [0.5000, 0.2524, 0.8292], [0.5000, 0.7476, 0.8292]]
}

---

No. 11
{
  "formula": "BeAg2As",
  "functional": "PBE",
  "state": "optimized geometry",
  "ef_ev_per_fu": 1.22,
  "polymorph_energy_mev_per_atom": 94.7,
  "cell": [[2.9920, 0.0000, 0.0000], [0.0000, 4.0756, 0.0000], [-1.1750, 0.0000, 5.3637]],
  "species": ["Be", "Ag", "Ag", "As"],
  "frac_coords": [[0.0000, 0.0000, 0.0000], [0.3699, 0.5000, 0.2236], [0.6301, 0.5000, 0.7764], [0.0000, 0.0000, 0.5000]]
}

---

| no. | E_tot (eV per atom) |
| --- | --- |
| 1 | -2.3674 |
| 2 | -7.1320 |
| 3 | -1.8544 |
| 4 | -1.7023 |
| 5 | -3.4888 |
| 6 | -3.2510 |
| 7 | -3.1502 |
| 8 | -4.3566 |
| 9 | -9.2401 |
| 10 | -11.1703 |
| 11 | -3.2136 |